VASP calculation (PBE) on crystalline Pm2Ho3Th2 at its relaxed geometry.

Summary:
Total magnetic moment: 0.0 Bohr magnetons per cell
Polymorph energy (0 for the lowest one): 0.103 eV/atom
Energy relative to the elements: 1.00 eV/f.u.
Crystal system: monoclinic
SG: C2/m (12)

abc: 8.968 8.968 8.619
angles: 118.71 118.71 22.18
Atoms (fractional coordinates):
Pm 0.063 0.063 0.216
Pm 0.937 0.937 0.784
Ho 0.284 0.284 0.367
Ho 0.500 0.500 0.500
Ho 0.716 0.716 0.633
Th 0.346 0.346 0.045
Th 0.654 0.654 0.955



VASP calculation (PBE) on crystalline Pm6Ho3TmTh2 at its relaxed geometry.

Summary:
Total magnetic moment: 0.0 Bohr magnetons per cell
Energy relative to the elements: 0.44 eV/f.u.
Crystal system: monoclinic
SG: C2/m (12)

abc: 6.218 6.218 11.946
angles: 94.99 94.99 119.94
Atoms (fractional coordinates):
Pm 0.082 0.417 0.752
Pm 0.247 0.247 0.249
Pm 0.417 0.082 0.752
Pm 0.583 0.918 0.248
Pm 0.753 0.753 0.751
Pm 0.918 0.583 0.248
Ho 0.000 0.000 0.500
Ho 0.333 0.667 0.500
Ho 0.667 0.333 0.500
Tm 0.500 0.500 0.000
Th 0.166 0.834 0.000
Th 0.834 0.166 0.000